1.
This record from Alexandria describes a geometry-optimized CaTh2PtN4 structure. The functional is PBE-GGA.

The structure belongs to space group Cmcm (No. 63); the cell edges are 3.559, 12.185 and 12.235 Å and the angles 90.00°, 90.00° and 90.00°. The inequivalent atoms are Ca at (0.000, 0.110, 0.250), Th at (0.000, 0.370, 0.053), Pt at (0.000, 0.153, 0.750), N at (0.000, 0.000, 0.000), N at (0.000, 0.266, 0.611) and N at (0.000, 0.453, 0.250).

The calculation puts the uncorrected formation energy at -6.9 eV/f.u. For the density of states at the Fermi level, the calculation gives 25.23 states/eV/cell.

---

2.
This record from Alexandria describes a geometry-optimized CeSc2V structure. The functional is PBE-GGA.

The structure belongs to space group P4/mmm (No. 123); the cell edges are 3.355, 3.355 and 8.342 Å and the angles 90.00°, 90.00° and 90.00°. The inequivalent atoms are Ce at (0.000, 0.000, 0.000), Sc at (0.500, 0.500, 0.303) and V at (0.000, 0.000, 0.500).

Its formation enthalpy at 0 K is 209 meV/atom. For the density of states at the Fermi level, the calculation gives 6.81 states/eV/cell.

---

3.
This record from Alexandria describes a geometry-optimized ZrAl2Au structure. The functional is PBE-GGA.

The structure belongs to space group Fm-3m (No. 225); the cell edges are 6.561, 6.561 and 6.561 Å and the angles 90.00°, 90.00° and 90.00°. The inequivalent atoms are Zr at (0.000, 0.000, 0.000), Al at (0.250, 0.250, 0.250) and Au at (0.000, 0.000, 0.500).

Its formation enthalpy at 0 K is -244 meV/atom. For the density of states at the Fermi level, the calculation gives 12.28 states/eV/cell.

---

| no. | theoretical density (g/cm³) |
| --- | --- |
| 1 | 9.45 |
| 2 | 4.97 |
| 3 | 8.05 |